# 1
This record from Alexandria via LeMat-Bulk describes crystalline NiIrOsRh at its relaxed geometry. The functional is PBE.

Lattice parameters (Å, degrees): 2.711 3.764 5.324 90.00 90.08 90.00
Atoms (fractional coordinates):
Ni1 0.000 0.000 0.000
Ir1 0.501 0.500 0.751
Os1 0.000 0.000 0.504
Rh1 0.500 0.500 0.245

- E: -8.297 eV/atom
- Space group: No. 6
- Energy relative to the elements: 0.01 eV per atom
- Volume: 13.584 Å³ per atom



# 2
This record from Alexandria via LeMat-Bulk describes crystalline SiNiIrOs at its relaxed geometry. The functional is PBE.

Lattice parameters (Å, degrees): 4.169 4.169 4.169 60.00 60.00 60.00
Atoms (fractional coordinates):
Si1 0.000 0.000 0.000
Ni1 0.500 0.500 0.500
Ir1 0.250 0.250 0.250
Os1 0.750 0.750 0.750

- E: -8.002 eV/atom
- Space group: No. 216
- Energy relative to the elements, uncorrected: -178 meV/atom
- Volume: 12.812 Å³ per atom



# 3
This record from Alexandria via LeMat-Bulk describes crystalline TaNiIrOs at its relaxed geometry. The functional is PBE.

Lattice parameters (Å, degrees): 3.764 3.869 3.941 90.00 90.00 90.00
Atoms (fractional coordinates):
Ta1 0.000 0.000 0.000
Ni1 0.000 0.500 0.500
Ir1 0.500 0.000 0.500
Os1 0.500 0.500 0.000

- E: -9.802 eV/atom
- Space group: No. 47
- Energy relative to the elements: -0.37 eV per atom
- Volume: 14.345 Å³ per atom



# 4
This record from Alexandria via LeMat-Bulk describes crystalline Ta2NiIrOs at its relaxed geometry. The functional is PBE.

Lattice parameters (Å, degrees): 4.754 4.754 4.440 90.00 90.00 90.00
Atoms (fractional coordinates):
Ta1 0.000 0.500 0.000
Ta2 0.500 0.000 0.000
Ni1 0.000 0.000 0.500
Ir1 0.500 0.500 0.500
Os1 0.000 0.000 0.000

- E: -8.542 eV/atom
- Space group: No. 123
- Energy relative to the elements: 1.37 eV per atom
- Volume: 20.072 Å³ per atom



# 5
This record from Alexandria via LeMat-Bulk describes crystalline VNiIrOs at its relaxed geometry. The functional is PBE.

Lattice parameters (Å, degrees): 4.219 4.219 4.219 60.00 60.00 60.00
Atoms (fractional coordinates):
V1 0.000 0.000 0.000
Ni1 0.500 0.500 0.500
Ir1 0.750 0.750 0.750
Os1 0.250 0.250 0.250

- E: -8.849 eV/atom
- Space group: No. 216
- Energy relative to the elements: -0.10 eV per atom
- Volume: 13.279 Å³ per atom



# 6
This record from Alexandria via LeMat-Bulk describes crystalline VNiIr2Os at its relaxed geometry. The functional is PBE.

Lattice parameters (Å, degrees): 4.426 4.426 4.295 90.00 90.00 90.00
Atoms (fractional coordinates):
V1 0.000 0.000 0.000
Ni1 0.500 0.500 0.500
Ir1 0.000 0.500 0.500
Ir2 0.500 0.000 0.500
Os1 0.500 0.500 0.000

- E: -7.206 eV/atom
- Space group: No. 123
- Energy relative to the elements: 1.56 eV per atom
- Volume: 16.828 Å³ per atom



# 7
This record from Alexandria via LeMat-Bulk describes crystalline VNiIrOs at its relaxed geometry. The functional is PBE.

Lattice parameters (Å, degrees): 3.607 3.789 3.864 90.00 90.00 90.00
Atoms (fractional coordinates):
V1 0.000 0.000 0.000
Ni1 0.000 0.500 0.500
Ir1 0.500 0.000 0.500
Os1 0.500 0.500 0.000

- E: -9.005 eV/atom
- Space group: No. 47
- Energy relative to the elements: -0.26 eV per atom
- Volume: 13.199 Å³ per atom



# 8
This record from Alexandria via LeMat-Bulk describes crystalline Ni2IrOsW at its relaxed geometry. The functional is PBE.

Lattice parameters (Å, degrees): 4.407 4.407 4.679 90.00 90.00 90.00
Atoms (fractional coordinates):
Ni1 0.000 0.500 0.000
Ni2 0.500 0.000 0.000
Ir1 0.000 0.000 0.500
Os1 0.500 0.500 0.000
W1 0.500 0.500 0.500

- E: -7.096 eV/atom
- Space group: No. 123
- Energy relative to the elements: 1.83 eV per atom
- Volume: 18.172 Å³ per atom



# 9
This record from Alexandria via LeMat-Bulk describes crystalline ZnNiIrOs at its relaxed geometry. The functional is PBE.

Lattice parameters (Å, degrees): 4.263 4.263 4.263 60.00 60.00 60.00
Atoms (fractional coordinates):
Zn1 0.000 0.000 0.000
Ni1 0.750 0.750 0.750
Ir1 0.250 0.250 0.250
Os1 0.500 0.500 0.500

- E: -6.540 eV/atom
- Space group: No. 216
- Energy relative to the elements: 0.25 eV per atom
- Volume: 13.693 Å³ per atom



# 10
This record from Alexandria via LeMat-Bulk describes crystalline NiPIr2 at its relaxed geometry. The functional is PBE.

Lattice parameters (Å, degrees): 2.731 4.314 4.634 90.00 90.00 90.00
Atoms (fractional coordinates):
Ni1 0.000 0.000 0.000
P1 0.500 0.000 0.500
Ir1 0.000 0.500 0.500
Ir2 0.500 0.500 0.000

- E: -7.014 eV/atom
- Space group: No. 47
- Energy relative to the elements: 0.21 eV per atom
- Volume: 13.648 Å³ per atom



# 11
This record from Alexandria via LeMat-Bulk describes crystalline Ni2PIr at its relaxed geometry. The functional is PBE.

Lattice parameters (Å, degrees): 4.523 4.523 4.447 113.82 113.82 36.74
Atoms (fractional coordinates):
Ni1 0.000 0.000 0.000
Ni2 0.220 0.220 0.777
P1 0.688 0.688 0.367
Ir1 0.420 0.420 0.435

- E: -6.670 eV/atom
- Space group: No. 8
- Energy relative to the elements: -0.21 eV per atom
- Volume: 12.311 Å³ per atom



# 12
This record from Alexandria via LeMat-Bulk describes crystalline NiPIr2 at its relaxed geometry. The functional is PBE.

Lattice parameters (Å, degrees): 2.841 2.841 6.418 90.00 90.00 90.00
Atoms (fractional coordinates):
Ni1 0.000 0.000 0.000
P1 0.500 0.500 0.188
Ir1 0.000 0.000 0.427
Ir2 0.500 0.500 0.730

- E: -7.213 eV/atom
- Space group: No. 99
- Energy relative to the elements: 0.02 eV per atom
- Volume: 12.948 Å³ per atom



Which formula does entry 6 have?
VNiIr2Os